Here is crystalline Pr3Ir7Rh2 at its relaxed geometry from the Alexandria database. Energies are from PBE.

CIF file:
```
data_Pr3Ir7Rh2
_cell_length_a 5.3764
_cell_length_b 5.3764
_cell_length_c 26.6687
_cell_angle_alpha 90.00
_cell_angle_beta 90.00
_cell_angle_gamma 120.00
_space_group_name_H-M_alt 'R -3 m'
_space_group_IT_number 166
_space_group_name_Hall '-R 3 2"'
loop_
_atom_site_label
_atom_site_fract_x
_atom_site_fract_y
_atom_site_fract_z
Pr1 0.0000 0.0000 0.0000
Pr2 0.0000 0.0000 0.1397
Ir1 0.0000 0.0000 0.5000
Ir2 0.0021 0.5010 0.0811
Rh1 0.0000 0.0000 0.3325
```

Total DFT energy (no corrections) (eV/atom): -8.1078
Density (g/cm³): 14.73
DOS at the Fermi energy (states/eV per atom): 0.96